Entry 1:
Ce2GdY: relaxed, GGA-PBE.

Computed properties:
Polymorph energy (0 for the lowest one): 0 meV/atom
DFT formation energy: 0.4 eV per formula unit
Space group: P4/mmm, No. 123
N(E_F): 10.70 states/eV/cell
V: 122.95 Å³/cell

Cell and atoms, written as CIF:
```
data_Ce2GdY
_cell_length_a 3.482
_cell_length_b 3.482
_cell_length_c 10.142
_cell_angle_alpha 90.00
_cell_angle_beta 90.00
_cell_angle_gamma 90.00
_symmetry_space_group_name_H-M 'P 1'
_symmetry_Int_Tables_number 1
loop_
_symmetry_equiv_pos_as_xyz
'x,y,z'
loop_
_atom_site_label
_atom_site_fract_x
_atom_site_fract_y
_atom_site_fract_z
Ce1 0.000 0.000 0.248
Ce2 0.000 0.000 0.752
Gd1 0.500 0.500 0.000
Y1 0.500 0.500 0.500
```

Entry 2:
Be3C5: relaxed, GGA-PBE.

Computed properties:
Polymorph energy (0 for the lowest one): 923 meV/atom
DFT formation energy: 12.7 eV per formula unit
Space group: P4/mmm, No. 123
N(E_F): 3.92 states/eV/cell
V: 57.97 Å³/cell

Cell and atoms, written as CIF:
```
data_Be3C5
_cell_length_a 2.392
_cell_length_b 2.392
_cell_length_c 10.128
_cell_angle_alpha 90.00
_cell_angle_beta 90.00
_cell_angle_gamma 90.00
_symmetry_space_group_name_H-M 'P 1'
_symmetry_Int_Tables_number 1
loop_
_symmetry_equiv_pos_as_xyz
'x,y,z'
loop_
_atom_site_label
_atom_site_fract_x
_atom_site_fract_y
_atom_site_fract_z
Be1 0.000 0.000 0.000
Be2 0.500 0.500 0.395
Be3 0.500 0.500 0.605
C1 0.000 0.000 0.172
C2 0.000 0.000 0.500
C3 0.000 0.000 0.828
C4 0.500 0.500 0.216
C5 0.500 0.500 0.784
```

Entry 3:
BaLaAl2Co: relaxed, GGA-PBE.

Computed properties:
DFT formation energy: -0.9 eV per formula unit
Space group: P4/mmm, No. 123
N(E_F): 3.23 states/eV/cell
V: 125.34 Å³/cell

Cell and atoms, written as CIF:
```
data_BaLaAl2Co
_cell_length_a 4.972
_cell_length_b 4.972
_cell_length_c 5.071
_cell_angle_alpha 90.00
_cell_angle_beta 90.00
_cell_angle_gamma 90.00
_symmetry_space_group_name_H-M 'P 1'
_symmetry_Int_Tables_number 1
loop_
_symmetry_equiv_pos_as_xyz
'x,y,z'
loop_
_atom_site_label
_atom_site_fract_x
_atom_site_fract_y
_atom_site_fract_z
Ba1 0.000 0.000 0.000
La1 0.500 0.500 0.000
Al1 0.000 0.500 0.500
Al2 0.500 0.000 0.500
Co1 0.500 0.500 0.500
```

Entry 4:
Lu3Tc5N12: relaxed, GGA-PBE.

Computed properties:
Space group: Ia-3d, No. 230
Uncorrected formation energy: -429.5 meV/atom
N(E_F): 33.41 states/eV/cell
V: 986.58 Å³/cell

Cell and atoms, written as CIF:
```
data_Lu3Tc5N12
_cell_length_a 10.862
_cell_length_b 10.862
_cell_length_c 10.862
_cell_angle_alpha 109.47
_cell_angle_beta 109.47
_cell_angle_gamma 109.47
_symmetry_space_group_name_H-M 'P 1'
_symmetry_Int_Tables_number 1
loop_
_symmetry_equiv_pos_as_xyz
'x,y,z'
loop_
_atom_site_label
_atom_site_fract_x
_atom_site_fract_y
_atom_site_fract_z
Lu1 0.125 0.250 0.375
Lu2 0.125 0.375 0.750
Lu3 0.250 0.375 0.125
Lu4 0.250 0.875 0.625
Lu5 0.375 0.125 0.250
Lu6 0.375 0.750 0.125
Lu7 0.625 0.250 0.875
Lu8 0.625 0.875 0.750
Lu9 0.750 0.125 0.375
Lu10 0.750 0.625 0.875
Lu11 0.875 0.625 0.250
Lu12 0.875 0.750 0.625
Tc1 0.000 0.000 0.000
Tc2 0.000 0.000 0.500
Tc3 0.000 0.500 0.000
Tc4 0.000 0.500 0.500
Tc5 0.125 0.750 0.875
Tc6 0.125 0.875 0.250
Tc7 0.250 0.125 0.875
Tc8 0.250 0.625 0.375
Tc9 0.375 0.250 0.625
Tc10 0.375 0.625 0.750
Tc11 0.500 0.000 0.000
Tc12 0.500 0.000 0.500
Tc13 0.500 0.500 0.000
Tc14 0.500 0.500 0.500
Tc15 0.625 0.375 0.250
Tc16 0.625 0.750 0.375
Tc17 0.750 0.375 0.625
Tc18 0.750 0.875 0.125
Tc19 0.875 0.125 0.750
Tc20 0.875 0.250 0.125
N1 0.023 0.204 0.119
N2 0.023 0.318 0.904
N3 0.085 0.704 0.682
N4 0.085 0.881 0.404
N5 0.096 0.619 0.415
N6 0.096 0.977 0.682
N7 0.119 0.023 0.204
N8 0.119 0.596 0.915
N9 0.182 0.204 0.585
N10 0.182 0.477 0.596
N11 0.204 0.119 0.023
N12 0.204 0.585 0.182
N13 0.296 0.318 0.915
N14 0.296 0.477 0.381
N15 0.318 0.904 0.023
N16 0.318 0.915 0.296
N17 0.381 0.296 0.477
N18 0.381 0.585 0.904
N19 0.404 0.085 0.881
N20 0.404 0.818 0.523
N21 0.415 0.096 0.619
N22 0.415 0.818 0.796
N23 0.477 0.381 0.296
N24 0.477 0.596 0.182
N25 0.523 0.404 0.818
N26 0.523 0.619 0.704
N27 0.585 0.182 0.204
N28 0.585 0.904 0.381
N29 0.596 0.182 0.477
N30 0.596 0.915 0.119
N31 0.619 0.415 0.096
N32 0.619 0.704 0.523
N33 0.682 0.085 0.704
N34 0.682 0.096 0.977
N35 0.704 0.523 0.619
N36 0.704 0.682 0.085
N37 0.796 0.415 0.818
N38 0.796 0.881 0.977
N39 0.818 0.523 0.404
N40 0.818 0.796 0.415
N41 0.881 0.404 0.085
N42 0.881 0.977 0.796
N43 0.904 0.023 0.318
N44 0.904 0.381 0.585
N45 0.915 0.119 0.596
N46 0.915 0.296 0.318
N47 0.977 0.682 0.096
N48 0.977 0.796 0.881
```

Entry 5:
Ti4SnS: relaxed, GGA-PBE.

Computed properties:
Space group: C2/c, No. 15
Uncorrected formation energy: -538.2 meV/atom
N(E_F): 9.25 states/eV/cell
V: 212.80 Å³/cell

Cell and atoms, written as CIF:
```
data_Ti4SnS
_cell_length_a 7.170
_cell_length_b 7.170
_cell_length_c 6.370
_cell_angle_alpha 105.20
_cell_angle_beta 105.20
_cell_angle_gamma 42.63
_symmetry_space_group_name_H-M 'P 1'
_symmetry_Int_Tables_number 1
loop_
_symmetry_equiv_pos_as_xyz
'x,y,z'
loop_
_atom_site_label
_atom_site_fract_x
_atom_site_fract_y
_atom_site_fract_z
Ti1 0.011 0.823 0.556
Ti2 0.177 0.989 0.944
Ti3 0.207 0.426 0.859
Ti4 0.426 0.207 0.359
Ti5 0.574 0.793 0.641
Ti6 0.793 0.574 0.141
Ti7 0.823 0.011 0.056
Ti8 0.989 0.177 0.444
Sn1 0.391 0.609 0.250
Sn2 0.609 0.391 0.750
S1 0.000 0.500 0.500
S2 0.500 0.000 0.000
```

Entry 6:
TaCo2MoRu: relaxed, GGA-PBE.

Computed properties:
DFT formation energy: 7.1 eV per formula unit
Space group: P4/mmm, No. 123
N(E_F): 8.35 states/eV/cell
V: 85.95 Å³/cell

Cell and atoms, written as CIF:
```
data_TaCo2MoRu
_cell_length_a 4.310
_cell_length_b 4.310
_cell_length_c 4.626
_cell_angle_alpha 90.00
_cell_angle_beta 90.00
_cell_angle_gamma 90.00
_symmetry_space_group_name_H-M 'P 1'
_symmetry_Int_Tables_number 1
loop_
_symmetry_equiv_pos_as_xyz
'x,y,z'
loop_
_atom_site_label
_atom_site_fract_x
_atom_site_fract_y
_atom_site_fract_z
Ta1 0.000 0.000 0.000
Co1 0.000 0.500 0.500
Co2 0.500 0.000 0.500
Mo1 0.500 0.500 0.500
Ru1 0.500 0.500 0.000
```

Entry 7:
CeCuSnPt: relaxed, GGA-PBE.

Computed properties:
DFT formation energy: -2.5 eV per formula unit
Space group: F-43m, No. 216
N(E_F): 3.42 states/eV/cell
V: 80.16 Å³/cell

Cell and atoms, written as CIF:
```
data_CeCuSnPt
_cell_length_a 4.840
_cell_length_b 4.840
_cell_length_c 4.840
_cell_angle_alpha 60.00
_cell_angle_beta 60.00
_cell_angle_gamma 60.00
_symmetry_space_group_name_H-M 'P 1'
_symmetry_Int_Tables_number 1
loop_
_symmetry_equiv_pos_as_xyz
'x,y,z'
loop_
_atom_site_label
_atom_site_fract_x
_atom_site_fract_y
_atom_site_fract_z
Ce1 0.000 0.000 0.000
Cu1 0.250 0.250 0.250
Sn1 0.500 0.500 0.500
Pt1 0.750 0.750 0.750
```